# 1
A relaxed structure of LaMgCr2, computed with PBEsol.

a = 3.075 Å, b = 3.075 Å, c = 7.989 Å
α = 90.00°, β = 90.00°, γ = 90.00°
Element x y z (fractional)
La  0.000  0.000  0.000
Mg  0.500  0.500  0.349
Cr  0.000  0.000  0.588
Cr  0.500  0.500  0.706

## Properties
Calculated formation energy in meV per atom: 336
Crystal system: tetragonal
Total moment in μB per atom: 0.099


# 2
A relaxed structure of LiAsSe3, computed with PBEsol.

a = 5.021 Å, b = 5.021 Å, c = 5.021 Å
α = 90.00°, β = 90.00°, γ = 90.00°
Element x y z (fractional)
Li  0.000  0.000  0.000
As  0.500  0.500  0.500
Se  0.000  0.500  0.500
Se  0.500  0.000  0.500
Se  0.500  0.500  0.000

## Properties
Crystal system: cubic
Total moment in μB per atom: 0.000
ΔE_f (raw) in eV per formula unit: 0.31


# 3
A relaxed structure of CuAgCl2, computed with PBEsol.

a = 4.599 Å, b = 4.599 Å, c = 4.599 Å
α = 60.00°, β = 60.00°, γ = 60.00°
Element x y z (fractional)
Cu  0.000  0.000  0.000
Ag  0.750  0.750  0.750
Cl  0.250  0.250  0.250
Cl  0.500  0.500  0.500

## Properties
Crystal system: cubic
Total moment in μB per atom: 0.000
ΔE_f (raw) in eV per formula unit: 1.00


# 4
A relaxed structure of SrMn2Tl, computed with PBEsol.

a = 4.945 Å, b = 4.945 Å, c = 4.945 Å
α = 120.07°, β = 120.07°, γ = 89.88°
Element x y z (fractional)
Sr  0.000  0.000  0.000
Mn  0.250  0.750  0.500
Mn  0.750  0.250  0.500
Tl  0.500  0.500  0.000

## Properties
Calculated formation energy in meV per atom: 661
Crystal system: tetragonal
Total moment in μB per atom: 1.968


# 5
A relaxed structure of Sm2In3Cu, computed with PBEsol.

a = 4.695 Å, b = 4.695 Å, c = 7.476 Å
α = 90.00°, β = 90.00°, γ = 120.00°
Element x y z (fractional)
Sm  0.000  0.000  0.000
Sm  0.000  0.000  0.463
In  0.333  0.667  0.242
In  0.333  0.667  0.677
In  0.667  0.333  0.788
Cu  0.667  0.333  0.180

## Properties
Calculated formation energy in meV per atom: -468
Crystal system: trigonal
Total moment in μB per atom: 0.000


# 6
A relaxed structure of SiPt2Rh, computed with PBEsol.

a = 5.247 Å, b = 5.247 Å, c = 5.247 Å
α = 149.01°, β = 130.33°, γ = 59.70°
Element x y z (fractional)
Si  0.000  0.000  0.000
Pt  0.214  0.714  0.500
Pt  0.503  0.503  0.000
Rh  0.794  0.294  0.500

## Properties
Crystal system: orthorhombic
Total moment in μB per atom: 0.000
ΔE_f (raw) in eV per formula unit: -1.80